No. 1
Material: GdLuAgGe
Method: DFT, PBE
State: optimized geometry

Cell: 5.0530 5.0530 5.0530 Å, 60.00 60.00 60.00°
Closest atoms and distances in Å follow each position.
Fractional coordinates of all 4 atoms:
Ge: 0.2500 0.2500 0.2500  4 Gd 3.09, 4 Lu 3.09
Lu: 0.0000 0.0000 0.0000  4 Ag 3.09, 4 Ge 3.09
Gd: 0.5000 0.5000 0.5000  4 Ge 3.09, 4 Ag 3.09
Ag: 0.7500 0.7500 0.7500  4 Lu 3.09, 4 Gd 3.09

Values from the calculation:
Energy ... -7.0370 eV per atom
ρ ... 9.33 g cm⁻³

***

No. 2
Material: HoLuCuSn
Method: DFT, PBE
State: optimized geometry

Cell: 5.0764 5.0764 5.0764 Å, 60.00 60.00 60.00°
Closest atoms and distances in Å follow each position.
Fractional coordinates of all 4 atoms:
Ho: 0.0000 0.0000 0.0000  4 Cu 3.11, 4 Sn 3.11
Sn: 0.2500 0.2500 0.2500  4 Ho 3.11, 4 Lu 3.11
Lu: 0.5000 0.5000 0.5000  4 Sn 3.11, 4 Cu 3.11
Cu: 0.7500 0.7500 0.7500  4 Lu 3.11, 4 Ho 3.11

Values from the calculation:
Energy ... -4.7050 eV per atom
ρ ... 9.37 g cm⁻³

***

No. 3
Material: ZnAsSe2S
Method: DFT, PBE
State: optimized geometry

Cell: 4.8110 4.8110 4.9455 Å, 90.00 90.00 90.00°
Closest atoms and distances in Å follow each position.
Fractional coordinates of all 5 atoms:
Se: 0.0000 0.5000 0.0000  2 Zn 2.41
Se: 0.5000 0.0000 0.0000  2 Zn 2.41
Zn: 0.0000 0.0000 0.0000  4 Se 2.41, 2 As 2.47
As: 0.0000 0.0000 0.5000  2 Zn 2.47
S: 0.5000 0.5000 0.5000  4 As 3.40, 8 Se 3.45

Values from the calculation:
Distance to the lowest polymorph of the same formula ... 0.91 eV/f.u.
Energy ... -2.5737 eV per atom
ρ ... 4.79 g cm⁻³
Formation energy without anion corrections ... 80.1 kJ per mole of atoms

***

No. 4
Material: SrLa2Ir
Method: DFT, PBE
State: optimized geometry

Cell: 5.3780 5.3780 5.3780 Å, 60.00 60.00 60.00°
Closest atoms and distances in Å follow each position.
Fractional coordinates of all 4 atoms:
Sr: 0.7500 0.7500 0.7500  4 Ir 3.29, 4 La 3.29
La: 0.0000 0.0000 0.0000  4 La 3.29, 4 Sr 3.29
La: 0.2500 0.2500 0.2500  4 La 3.29, 4 Ir 3.29
Ir: 0.5000 0.5000 0.5000  4 La 3.29, 4 Sr 3.29

Values from the calculation:
Distance to the lowest polymorph of the same formula ... 2.41 eV/f.u.
Energy ... -4.9604 eV per atom
ρ ... 8.42 g cm⁻³

***

Which value of ρ does entry 1 give? 9.33 g cm⁻³

***

ρ of number 3 (ZnAsSe2S)? 4.79 g cm⁻³

***

Among the records above, which one has the highest ρ? HoLuCuSn